Entry 1:
Computed, not measured: a relaxed structure of CsErHgSe3 at the PBE-GGA level of DFT.

Cell and atoms, written as POSCAR:
```
CsErHgSe3
1.0
9.2826 -2.1213 0.0000
9.2826 2.1213 0.0000
-1.7839 0.0000 9.3972
Cs Er Hg Se
2 2 2 6
Direct
0.1501 0.1501 0.0615
0.8499 0.8499 0.9385
0.1694 0.1694 0.5660
0.8306 0.8306 0.4340
0.4858 0.4858 0.2780
0.5142 0.5142 0.7220
0.0000 0.0000 0.5000
0.3254 0.3254 0.6300
0.3363 0.3363 0.2388
0.5000 0.5000 0.0000
0.6637 0.6637 0.7612
0.6746 0.6746 0.3700
```

Calculated values
- E_tot: -45.66 eV per cell
- Crystal system: monoclinic
- Space group: C2/m, No. 12

=====

Entry 2:
Computed, not measured: a relaxed structure of Cs2HoErSe4 at the PBE-GGA level of DFT.

Cell and atoms, written as POSCAR:
```
Cs2HoErSe4
1.0
4.2240 0.0000 0.0000
-2.1120 3.6581 0.0000
0.0000 0.0000 16.6611
Cs Ho Er Se
2 1 1 4
Direct
0.3333 0.6667 0.2499
0.6667 0.3333 0.7501
0.0000 0.0000 0.5000
0.0000 0.0000 0.0000
0.3333 0.6667 0.5931
0.3333 0.6667 0.9075
0.6667 0.3333 0.0925
0.6667 0.3333 0.4069
```

Calculated values
- E_tot: -38.56 eV per cell
- Crystal system: trigonal
- Space group: P-3m1, No. 164

=====

Entry 3:
Computed, not measured: a relaxed structure of Cs3Er2I9 at the PBE-GGA level of DFT.

Cell and atoms, written as POSCAR:
```
Cs3Er2I9
1.0
8.5751 0.0000 0.0000
-4.2875 7.4262 0.0000
0.0000 0.0000 21.6445
Cs Er I
6 4 18
Direct
0.0000 0.0000 0.2500
0.0000 0.0000 0.7500
0.3333 0.6667 0.0700
0.3333 0.6667 0.4300
0.6667 0.3333 0.5700
0.6667 0.3333 0.9300
0.3333 0.6667 0.6559
0.3333 0.6667 0.8441
0.6667 0.3333 0.1559
0.6667 0.3333 0.3441
0.0137 0.5068 0.7500
0.1658 0.3315 0.5859
0.1658 0.3315 0.9141
0.1658 0.8342 0.5859
0.1658 0.8342 0.9141
0.3315 0.1658 0.0859
0.3315 0.1658 0.4141
0.4932 0.5068 0.7500
0.4932 0.9863 0.7500
0.5068 0.0137 0.2500
0.5068 0.4932 0.2500
0.6685 0.8342 0.5859
0.6685 0.8342 0.9141
0.8342 0.1658 0.0859
0.8342 0.1658 0.4141
0.8342 0.6685 0.0859
0.8342 0.6685 0.4141
0.9863 0.4932 0.2500
```

Calculated values
- E_tot: -93.00 eV per cell
- Crystal system: hexagonal
- Space group: P6_3/mmc, No. 194

=====

Entry 4:
Computed, not measured: a relaxed structure of Cs2NaErI6 at the PBE-GGA level of DFT.

Cell and atoms, written as POSCAR:
```
Cs2NaErI6
1.0
0.0000 6.1490 6.1490
6.1490 0.0000 6.1490
6.1490 6.1490 0.0000
Cs Na Er I
2 1 1 6
Direct
0.2500 0.2500 0.2500
0.7500 0.7500 0.7500
0.0000 0.0000 0.0000
0.5000 0.5000 0.5000
0.2559 0.2559 0.7441
0.2559 0.7441 0.2559
0.2559 0.7441 0.7441
0.7441 0.2559 0.2559
0.7441 0.2559 0.7441
0.7441 0.7441 0.2559
```

Calculated values
- E_tot: -31.33 eV per cell
- Crystal system: cubic
- Space group: Fm-3m, No. 225

=====

Entry 5:
Computed, not measured: a relaxed structure of CsErIn at the PBE-GGA level of DFT.

Cell and atoms, written as POSCAR:
```
CsErIn
1.0
0.0000 3.9010 3.9010
3.9010 0.0000 3.9010
3.9010 3.9010 0.0000
Cs Er In
1 1 1
Direct
0.0000 0.0000 0.0000
0.2500 0.2500 0.2500
0.5000 0.5000 0.5000
```

Calculated values
- E_tot: -6.46 eV per cell
- Crystal system: cubic
- Space group: F-43m, No. 216

=====

Entry 6:
Computed, not measured: a relaxed structure of CsErInSe3 at the PBE-GGA level of DFT.

Cell and atoms, written as POSCAR:
```
CsErInSe3
1.0
2.2671 -7.9501 0.0000
2.2671 7.9501 0.0000
0.0000 0.0000 11.2551
Cs Er In Se
2 2 2 6
Direct
0.2482 0.7518 0.7500
0.7518 0.2482 0.2500
0.5000 0.5000 0.0000
0.5000 0.5000 0.5000
0.0337 0.9663 0.2500
0.9663 0.0337 0.7500
0.1164 0.8836 0.0369
0.1164 0.8836 0.4631
0.4405 0.5595 0.2500
0.5595 0.4405 0.7500
0.8836 0.1164 0.5369
0.8836 0.1164 0.9631
```

Calculated values
- E_tot: -51.07 eV per cell
- Crystal system: orthorhombic
- Space group: Cmcm, No. 63

=====

Entry 7:
Computed, not measured: a relaxed structure of CsKEr at the PBE-GGA level of DFT.

Cell and atoms, written as POSCAR:
```
CsKEr
1.0
0.0000 4.8530 4.8530
4.8530 0.0000 4.8530
4.8530 4.8530 0.0000
Cs K Er
1 1 1
Direct
0.0000 0.0000 0.0000
0.5000 0.5000 0.5000
0.2500 0.2500 0.2500
```

Calculated values
- E_tot: -3.48 eV per cell
- Crystal system: cubic
- Space group: F-43m, No. 216

=====

Entry 8:
Computed, not measured: a relaxed structure of Cs2LaErO4 at the PBE-GGA level of DFT.

Cell and atoms, written as POSCAR:
```
Cs2LaErO4
1.0
3.6242 0.0000 0.0000
-1.8121 3.1386 0.0000
0.0000 0.0000 13.6127
Cs La Er O
2 1 1 4
Direct
0.3333 0.6667 0.2444
0.6667 0.3333 0.7556
0.0000 0.0000 0.5000
0.0000 0.0000 0.0000
0.3333 0.6667 0.5902
0.3333 0.6667 0.9213
0.6667 0.3333 0.0787
0.6667 0.3333 0.4098
```

Calculated values
- E_tot: -51.66 eV per cell
- Crystal system: trigonal
- Space group: P-3m1, No. 164

=====

Entry 9:
Computed, not measured: a relaxed structure of CsLiEr at the PBE-GGA level of DFT.

Cell and atoms, written as POSCAR:
```
CsLiEr
1.0
0.0000 4.1321 4.1321
4.1321 0.0000 4.1321
4.1321 4.1321 0.0000
Cs Li Er
1 1 1
Direct
0.0000 0.0000 0.0000
0.5000 0.5000 0.5000
0.2500 0.2500 0.2500
```

Calculated values
- E_tot: -4.29 eV per cell
- Crystal system: cubic
- Space group: F-43m, No. 216

=====

Entry 10:
Computed, not measured: a relaxed structure of CsErLu at the PBE-GGA level of DFT.

Cell and atoms, written as POSCAR:
```
CsErLu
1.0
0.0000 4.1508 4.1508
4.1508 0.0000 4.1508
4.1508 4.1508 0.0000
Cs Er Lu
1 1 1
Direct
0.0000 0.0000 0.0000
0.2500 0.2500 0.2500
0.5000 0.5000 0.5000
```

Calculated values
- E_tot: -6.03 eV per cell
- Crystal system: cubic
- Excess energy over the best structure of this formula in the dataset: 0.00 eV per formula unit
- Space group: F-43m, No. 216

=====

Entry 11:
Computed, not measured: a relaxed structure of CsErLu at the PBE-GGA level of DFT.

Cell and atoms, written as POSCAR:
```
CsErLu
1.0
0.0000 3.8960 3.8960
3.8960 0.0000 3.8960
3.8960 3.8960 0.0000
Cs Er Lu
1 1 1
Direct
0.0000 0.0000 0.0000
0.2500 0.2500 0.2500
0.7500 0.7500 0.7500
```

Calculated values
- E_tot: -5.97 eV per cell
- Crystal system: cubic
- Excess energy over the best structure of this formula in the dataset: 0.06 eV per formula unit
- Space group: F-43m, No. 216

=====

Entry 12:
Computed, not measured: a relaxed structure of CsErLuTe3 at the PBE-GGA level of DFT.

Cell and atoms, written as POSCAR:
```
CsErLuTe3
1.0
2.3096 -8.8227 0.0000
2.3096 8.8227 0.0000
0.0000 0.0000 11.7768
Cs Er Lu Te
2 2 2 6
Direct
0.2446 0.7554 0.7500
0.7554 0.2446 0.2500
0.0351 0.9649 0.2500
0.9649 0.0351 0.7500
0.5000 0.5000 0.0000
0.5000 0.5000 0.5000
0.1179 0.8821 0.0381
0.1179 0.8821 0.4619
0.4348 0.5652 0.2500
0.5652 0.4348 0.7500
0.8821 0.1179 0.5381
0.8821 0.1179 0.9619
```

Calculated values
- E_tot: -52.88 eV per cell
- Crystal system: orthorhombic
- Excess energy over the best structure of this formula in the dataset: 0.14 eV per formula unit
- Space group: Cmcm, No. 63